Computed, not measured: Cs3AcSb2O6 after structural relaxation at the PBE-GGA level of DFT.

Results
The calculation puts the total magnetic moment at 0.0 μB/cell. The calculation puts the formation energy without anion corrections at -189 kJ per mole of atoms.

Unit cell a=6.5552 b=6.5552 c=8.1036 alpha=90.00 beta=90.00 gamma=120.00
Space group P-3m1 (No. 164)
One atom of each set of equivalent atoms:
Cs 0.0000 0.0000 0.0000 [1 per cell]
Cs 0.3333 0.6667 0.6660 [2 per cell]
Ac 0.0000 0.0000 0.5000 [1 per cell]
Sb 0.3333 0.6667 0.2066 [2 per cell]
O 0.1794 0.3588 0.3191 [6 per cell]